Fe2PPb: relaxed, PBE.

* crystal system: tetragonal
* Fermi-level density of states: 3.01 states/eV/f.u.
* formation energy: 0.8 eV/f.u.
* calculated volume: 15.55 Å³/atom

a = 3.011 Å, b = 3.011 Å, c = 6.865 Å
α = 90.00°, β = 90.00°, γ = 90.00°
Positions (direct):
P (0.500, 0.500, 0.250)
Fe (0.000, 0.000, 0.081)
Fe (0.000, 0.000, 0.419)
Pb (0.500, 0.500, 0.750)